Computed, not measured: crystalline PmPr2NdDy at its relaxed geometry at the PBE level of DFT.

Values from the calculation:
space-group type: P2/c (13)
M_tot: 0.00 μB/atom
crystal system: monoclinic
DFT formation energy: 254 meV/atom

a b c (Å): 6.809 8.299 6.307
angles (deg): 90.41 90.00 90.00
Atoms (fractional coordinates):
Pr: 0.306 0.694 0.253
Pr: 0.694 0.306 0.747
Pr: 0.306 0.306 0.247
Nd: 0.000 0.000 0.500
Pm: 0.423 0.000 0.750
Pm: 0.577 0.000 0.250
Dy: 0.158 0.500 0.750
Dy: 0.842 0.500 0.250
Pr: 0.694 0.694 0.753
Nd: 0.000 0.000 0.000

***

Computed, not measured: crystalline Pm2PrNd3Dy6 at its relaxed geometry at the PBE level of DFT.

Values from the calculation:
space-group type: C2/m (12)
M_tot: 0.00 μB/atom
crystal system: monoclinic
DFT formation energy: 12 meV/atom

a b c (Å): 6.267 6.267 11.865
angles (deg): 95.04 95.04 120.00
Atoms (fractional coordinates):
Nd: 0.500 0.500 0.500
Dy: 0.083 0.417 0.250
Dy: 0.917 0.583 0.750
Dy: 0.583 0.917 0.750
Pm: 0.667 0.333 0.000
Dy: 0.417 0.083 0.250
Nd: 0.833 0.167 0.500
Pm: 0.333 0.667 0.000
Pr: 0.000 0.000 0.000
Dy: 0.750 0.750 0.250
Nd: 0.167 0.833 0.500
Dy: 0.250 0.250 0.750

***

Computed, not measured: crystalline Pm6Pr2NdDy at its relaxed geometry at the PBE level of DFT.

Values from the calculation:
space-group type: C2/c (15)
M_tot: 0.00 μB/atom
crystal system: monoclinic
DFT formation energy: 113 meV/atom

a b c (Å): 9.936 8.963 8.963
angles (deg): 117.95 94.50 94.50
Atoms (fractional coordinates):
Pm: 0.944 0.879 0.255
Pm: 0.880 0.295 0.505
Pr: 0.042 0.295 0.195
Dy: 0.750 0.592 0.408
Pr: 0.458 0.805 0.705
Pm: 0.312 0.983 0.427
Nd: 0.750 0.018 0.982
Pm: 0.620 0.495 0.705
Pr: 0.542 0.195 0.295
Pr: 0.958 0.705 0.805
Dy: 0.250 0.408 0.592
Nd: 0.250 0.982 0.018
Pm: 0.556 0.745 0.121
Pm: 0.120 0.705 0.495
Pm: 0.380 0.505 0.295
Pm: 0.188 0.573 0.017
Pm: 0.444 0.255 0.879
Pm: 0.056 0.121 0.745
Pm: 0.812 0.427 0.983
Pm: 0.688 0.017 0.573

***

Computed, not measured: crystalline PmPr2Nd5Dy at its relaxed geometry at the PBE level of DFT.

Values from the calculation:
space-group type: I4/mcm (140)
M_tot: 0.00 μB/atom
crystal system: tetragonal
DFT formation energy: 266 meV/atom

a b c (Å): 8.832 8.832 10.276
angles (deg): 115.45 115.45 90.00
Atoms (fractional coordinates):
Nd: 0.571 0.646 0.718
Pm: 0.750 0.750 0.500
Nd: 0.429 0.354 0.282
Nd: 0.000 0.000 0.000
Nd: 0.854 0.929 0.282
Pr: 0.619 0.119 0.000
Dy: 0.250 0.750 0.500
Pr: 0.381 0.881 0.000
Nd: 0.146 0.071 0.718
Pr: 0.119 0.381 0.000
Nd: 0.500 0.500 0.000
Nd: 0.354 0.854 0.282
Nd: 0.071 0.571 0.718
Dy: 0.750 0.250 0.500
Nd: 0.646 0.146 0.718
Pm: 0.250 0.250 0.500
Nd: 0.929 0.429 0.282
Pr: 0.881 0.619 0.000

***

Computed, not measured: crystalline Pm3PrNd2Dy6 at its relaxed geometry at the PBE level of DFT.

Values from the calculation:
space-group type: C2/m (12)
M_tot: 0.00 μB/atom
crystal system: monoclinic
DFT formation energy: 12 meV/atom

a b c (Å): 6.262 6.262 11.862
angles (deg): 95.03 95.03 119.99
Atoms (fractional coordinates):
Dy: 0.916 0.583 0.749
Dy: 0.750 0.750 0.251
Pm: 0.167 0.833 0.500
Pm: 0.833 0.167 0.500
Nd: 0.667 0.333 0.000
Dy: 0.084 0.417 0.251
Pr: 0.000 0.000 0.000
Dy: 0.583 0.916 0.749
Nd: 0.333 0.667 0.000
Dy: 0.250 0.250 0.749
Pm: 0.500 0.500 0.500
Dy: 0.417 0.084 0.251

***

Computed, not measured: crystalline PmPrNd2Dy2 at its relaxed geometry at the PBE level of DFT.

Values from the calculation:
space-group type: Pnnm (58)
M_tot: 0.00 μB/atom
crystal system: orthorhombic
DFT formation energy: 61 meV/atom

a b c (Å): 5.758 9.962 7.081
angles (deg): 90.00 90.00 90.00
Atoms (fractional coordinates):
Dy: 0.000 0.334 0.750
Dy: 0.500 0.834 0.750
Pr: 0.000 0.000 0.000
Nd: 0.000 0.333 0.249
Dy: 0.000 0.666 0.250
Pm: 0.500 0.500 0.000
Pr: 0.500 0.500 0.500
Nd: 0.000 0.667 0.751
Nd: 0.500 0.833 0.251
Nd: 0.500 0.167 0.749
Pm: 0.000 0.000 0.500
Dy: 0.500 0.166 0.250

***

Computed, not measured: crystalline PmPrNd3Dy at its relaxed geometry at the PBE level of DFT.

Values from the calculation:
space-group type: C2/m (12)
M_tot: 0.00 μB/atom
crystal system: monoclinic
DFT formation energy: 164 meV/atom

a b c (Å): 5.857 10.729 6.924
angles (deg): 90.55 90.00 105.84
Atoms (fractional coordinates):
Pm: 0.943 0.886 0.740
Dy: 0.645 0.291 0.473
Nd: 0.161 0.323 0.744
Nd: 0.781 0.562 0.744
Pr: 0.353 0.707 0.976
Pm: 0.057 0.114 0.260
Pr: 0.647 0.293 0.024
Nd: 0.839 0.677 0.256
Nd: 0.518 0.036 0.747
Dy: 0.355 0.709 0.527
Nd: 0.482 0.964 0.253
Nd: 0.219 0.438 0.256

***

Computed, not measured: crystalline Pm4Pr2NdDy2 at its relaxed geometry at the PBE level of DFT.

Values from the calculation:
space-group type: C2/m (12)
M_tot: 0.00 μB/atom
crystal system: monoclinic
DFT formation energy: 16 meV/atom

a b c (Å): 5.160 8.155 8.132
angles (deg): 107.61 90.00 108.44
Atoms (fractional coordinates):
Pm: 0.222 0.444 0.331
Nd: 0.000 0.000 0.000
Pr: 0.112 0.224 0.668
Dy: 0.667 0.335 0.000
Pm: 0.444 0.889 0.669
Dy: 0.333 0.665 0.000
Pr: 0.888 0.776 0.332
Pm: 0.556 0.111 0.331
Pm: 0.778 0.556 0.669

***

Computed, not measured: crystalline PmPrNd2Dy at its relaxed geometry at the PBE level of DFT.

Values from the calculation:
space-group type: P2/c (13)
M_tot: 0.00 μB/atom
crystal system: monoclinic
DFT formation energy: 261 meV/atom

a b c (Å): 6.704 8.396 6.319
angles (deg): 92.48 90.00 90.00
Atoms (fractional coordinates):
Pm: 0.430 0.000 0.750
Pr: 0.000 0.000 0.500
Nd: 0.307 0.691 0.265
Nd: 0.307 0.309 0.235
Dy: 0.838 0.500 0.250
Dy: 0.162 0.500 0.750
Pm: 0.570 0.000 0.250
Nd: 0.692 0.309 0.735
Nd: 0.692 0.691 0.765
Pr: 0.000 0.000 0.000

***

Computed, not measured: crystalline PmPr3Nd6Dy2 at its relaxed geometry at the PBE level of DFT.

Values from the calculation:
space-group type: C2/m (12)
M_tot: 0.00 μB/atom
crystal system: monoclinic
DFT formation energy: 15 meV/atom

a b c (Å): 6.355 6.355 12.141
angles (deg): 95.02 95.02 120.01
Atoms (fractional coordinates):
Nd: 0.251 0.251 0.754
Dy: 0.667 0.333 0.000
Nd: 0.583 0.917 0.754
Pr: 0.833 0.167 0.500
Pr: 0.167 0.833 0.500
Nd: 0.417 0.083 0.246
Dy: 0.333 0.667 0.000
Nd: 0.749 0.749 0.246
Nd: 0.083 0.417 0.246
Pr: 0.500 0.500 0.500
Pm: 0.000 0.000 0.000
Nd: 0.917 0.583 0.754

***

Computed, not measured: crystalline PmPrNd2Dy5 at its relaxed geometry at the PBE level of DFT.

Values from the calculation:
space-group type: I4/mcm (140)
M_tot: 0.00 μB/atom
crystal system: tetragonal
DFT formation energy: 250 meV/atom

a b c (Å): 8.756 8.756 9.978
angles (deg): 116.03 116.03 90.00
Atoms (fractional coordinates):
Dy: 0.654 0.154 0.726
Pm: 0.750 0.250 0.500
Nd: 0.882 0.618 0.000
Pm: 0.250 0.750 0.500
Nd: 0.618 0.118 0.000
Nd: 0.382 0.882 0.000
Dy: 0.000 0.000 0.000
Dy: 0.072 0.572 0.726
Dy: 0.846 0.928 0.274
Dy: 0.346 0.846 0.274
Nd: 0.118 0.382 0.000
Dy: 0.928 0.428 0.274
Pr: 0.750 0.750 0.500
Dy: 0.428 0.346 0.274
Pr: 0.250 0.250 0.500
Dy: 0.572 0.654 0.726
Dy: 0.154 0.072 0.726
Dy: 0.500 0.500 0.000

***

Computed, not measured: crystalline PmPr2NdDy5 at its relaxed geometry at the PBE level of DFT.

Values from the calculation:
space-group type: I4/mcm (140)
M_tot: 0.00 μB/atom
crystal system: tetragonal
DFT formation energy: 249 meV/atom

a b c (Å): 8.719 8.719 10.018
angles (deg): 115.80 115.80 90.00
Atoms (fractional coordinates):
Pr: 0.119 0.381 0.000
Dy: 0.429 0.348 0.277
Pm: 0.750 0.750 0.500
Pr: 0.381 0.881 0.000
Pr: 0.881 0.619 0.000
Pr: 0.619 0.119 0.000
Nd: 0.750 0.250 0.500
Dy: 0.000 0.000 0.000
Dy: 0.071 0.571 0.723
Dy: 0.500 0.500 0.000
Pm: 0.250 0.250 0.500
Dy: 0.571 0.652 0.723
Dy: 0.652 0.152 0.723
Dy: 0.848 0.929 0.277
Dy: 0.348 0.848 0.277
Dy: 0.152 0.071 0.723
Dy: 0.929 0.429 0.277
Nd: 0.250 0.750 0.500

***

For each record above, in turn, the calculated V values are 35.64 33.11 34.84 35.36 33.05 33.85 34.88 34.19 35.54 34.83 33.32 33.35 Å³ per atom.